[1]
First-principles (GGA-PBE) data for a relaxed structure of CaGe7N10, as listed in Alexandria via LeMat-Bulk.

Lattice parameters (Å, degrees): 7.2101 7.2366 10.2768 90.00 104.91 90.00
Space group Pc (No. 7)
Inequivalent atoms, fractional coordinates:
1 Ca 0.0000 0.0173 0.0000 (multiplicity 2)
2 Ge 0.2116 0.3934 0.9407 (multiplicity 2)
3 Ge 0.3968 0.3762 0.2497 (multiplicity 2)
4 Ge 0.4476 0.0246 0.8866 (multiplicity 2)
5 Ge 0.5851 0.3699 0.5546 (multiplicity 2)
6 Ge 0.6450 0.0271 0.1927 (multiplicity 2)
7 Ge 0.7622 0.3658 0.8586 (multiplicity 2)
8 Ge 0.9489 0.3739 0.1786 (multiplicity 2)
9 N 0.1782 0.4195 0.3084 (multiplicity 2)
10 N 0.2399 0.1511 0.9012 (multiplicity 2)
11 N 0.3848 0.4968 0.0906 (multiplicity 2)
12 N 0.4186 0.1249 0.2312 (multiplicity 2)
13 N 0.5577 0.1183 0.5398 (multiplicity 2)
14 N 0.5963 0.4598 0.3891 (multiplicity 2)
15 N 0.6748 0.1253 0.8478 (multiplicity 2)
16 N 0.8054 0.4153 0.6909 (multiplicity 2)
17 N 0.8698 0.1376 0.1931 (multiplicity 2)
18 N 0.9843 0.3707 0.9989 (multiplicity 2)

Properties
For the formation energy without anion corrections, the calculation gives -0.120 eV/atom.


[2]
First-principles (GGA-PBE) data for a relaxed structure of SnRu2Pb, as listed in Alexandria via LeMat-Bulk.

Lattice parameters (Å, degrees): 6.0382 6.0382 11.9679 90.00 90.00 90.00
Space group I-42d (No. 122)
Inequivalent atoms, fractional coordinates:
1 Sn 0.0000 0.0000 0.0000 (multiplicity 4)
2 Ru 0.2393 0.2500 0.1250 (multiplicity 8)
3 Pb 0.0000 0.0000 0.5000 (multiplicity 4)

Properties
The value obtained for the formation energy is 24.48 kcal/mol of atoms.


[3]
First-principles (GGA-PBE) data for a relaxed structure of TlCu2Ag, as listed in Alexandria via LeMat-Bulk.

Lattice parameters (Å, degrees): 6.4305 6.4305 6.4305 90.00 90.00 90.00
Space group Fm-3m (No. 225)
Inequivalent atoms, fractional coordinates:
1 Tl 0.0000 0.0000 0.0000 (multiplicity 4)
2 Cu 0.2500 0.2500 0.2500 (multiplicity 8)
3 Ag 0.0000 0.0000 0.5000 (multiplicity 4)

Properties
The value obtained for the formation energy is 5.10 kcal/mol of atoms. The distance to the lowest polymorph of the same formula comes out at 0.033 eV/atom.


[4]
First-principles (GGA-PBE) data for a relaxed structure of YTaBr2, as listed in Alexandria via LeMat-Bulk.

Lattice parameters (Å, degrees): 3.2862 3.9351 6.6438 90.00 90.00 90.00
Space group Pmmm (No. 47)
Inequivalent atoms, fractional coordinates:
1 Y 0.0000 0.0000 0.0000 (multiplicity 1)
2 Ta 0.0000 0.0000 0.5000 (multiplicity 1)
3 Br 0.5000 0.5000 0.2524 (multiplicity 2)

Properties
The distance to the lowest polymorph of the same formula comes out at 0.747 eV/atom. For the formation energy without anion corrections, the calculation gives 0.266 eV/atom.


[5]
First-principles (GGA-PBE) data for a relaxed structure of MnRe2Rh, as listed in Alexandria via LeMat-Bulk.

Lattice parameters (Å, degrees): 2.6748 4.1514 5.1884 90.00 104.25 90.00
Space group Pm (No. 6)
Inequivalent atoms, fractional coordinates:
1 Mn 0.0000 0.0000 0.0000 (multiplicity 1)
2 Re 0.2691 0.0000 0.5003 (multiplicity 1)
3 Re 0.6081 0.5000 0.2123 (multiplicity 1)
4 Rh 0.8799 0.5000 0.7380 (multiplicity 1)

Properties
The value obtained for the formation energy is 0.79 kcal/mol of atoms. The distance to the lowest polymorph of the same formula comes out at 0.059 eV/atom.


[6]
First-principles (GGA-PBE) data for a relaxed structure of Rb5PtClO2, as listed in Alexandria via LeMat-Bulk.

Lattice parameters (Å, degrees): 5.6073 5.6073 9.4624 90.00 90.00 90.00
Space group P4/mmm (No. 123)
Inequivalent atoms, fractional coordinates:
1 Rb 0.0000 0.0000 0.0000 (multiplicity 1)
2 Rb 0.0000 0.5000 0.2888 (multiplicity 4)
3 Pt 0.0000 0.0000 0.5000 (multiplicity 1)
4 Cl 0.5000 0.5000 0.0000 (multiplicity 1)
5 O 0.0000 0.0000 0.2798 (multiplicity 2)

Properties
For the formation energy without anion corrections, the calculation gives -1.034 eV/atom.


The following DOS(E_F) values (in states/eV/atom) correspond, in order, to the records above: 0.0000 0.0311 0.2930 0.7236 0.9399 1.2710.